one) MnReTe | GGA-PBE | relaxed

Values from the calculation:
Symmetry: I4mm, No. 107
Magnetization (μB per cell): 2.5
Calculated volume (Å³ per cell): 49.93
Mass density (g cm⁻³): 12.26

The structure in POSCAR format:
```
MnReTe
1.0
5.2592 0.6257 -0.2776
2.8485 4.4651 0.2776
-3.9062 -2.7805 2.2668
Mn Re Te
1 1 1
Direct
0.0084 0.0084 0.0000
0.6560 0.6560 0.0000
0.3356 0.3356 0.0000
```

---

two) MnReTe | GGA-PBE | relaxed

Values from the calculation:
Symmetry: F-43m, No. 216
Magnetization (μB per cell): 2.0
Calculated volume (Å³ per cell): 57.05
Mass density (g cm⁻³): 10.73

The structure in POSCAR format:
```
MnReTe
1.0
4.3211 0.0000 0.0000
2.1605 3.7421 0.0000
2.1605 1.2474 3.5281
Mn Re Te
1 1 1
Direct
0.5000 0.5000 0.5000
0.2500 0.2500 0.2500
0.0000 0.0000 0.0000
```

---

three) MnReTe | GGA-PBE | relaxed

Values from the calculation:
Symmetry: P3m1, No. 156
Magnetization (μB per cell): 2.1
Calculated volume (Å³ per cell): 51.67
Mass density (g cm⁻³): 11.85

The structure in POSCAR format:
```
MnReTe
1.0
-2.2271 -0.2439 2.1540
0.5406 -2.3587 -1.9502
4.1026 -2.3472 3.9761
Mn Re Te
1 1 1
Direct
0.0000 0.0000 0.0226
0.3333 0.6667 0.3055
0.6667 0.3333 0.6719
```

---

The most stable structure shown above is two); the least stable is one).